(1)
# PBE Co2TcPtN, relaxed
data_Co2TcPtN
_chemical_formula_sum 'Co2 Tc1 Pt1 N1'
_cell_length_a 3.869
_cell_length_b 3.869
_cell_length_c 3.961
_cell_angle_alpha 90.00
_cell_angle_beta 90.00
_cell_angle_gamma 90.00
_space_group_name_H-M_alt 'P 1'
_space_group_IT_number 1
_space_group_name_Hall 'P 1'
loop_
_atom_site_label
_atom_site_type_symbol
_atom_site_fract_x
_atom_site_fract_y
_atom_site_fract_z
Co1 Co 0.000 0.500 0.000
Tc1 Tc 0.000 0.000 0.500
Pt1 Pt 0.500 0.500 0.500
Co2 Co 0.500 0.000 0.000
N1 N 0.000 0.000 0.000
# Polymorph energy (0 for the lowest one) (eV per atom): 0.000
# Symmetry: P4/mmm
# Uncorrected formation energy (eV per atom): 0.026

(2)
# PBE CsCdIn2, relaxed
data_CsCdIn2
_chemical_formula_sum 'Cs2 Cd2 In4'
_cell_length_a 4.539
_cell_length_b 4.539
_cell_length_c 15.123
_cell_angle_alpha 90.00
_cell_angle_beta 90.00
_cell_angle_gamma 90.00
_space_group_name_H-M_alt 'P 1'
_space_group_IT_number 1
_space_group_name_Hall 'P 1'
loop_
_atom_site_label
_atom_site_type_symbol
_atom_site_fract_x
_atom_site_fract_y
_atom_site_fract_z
In1 In 0.500 0.500 0.500
Cs1 Cs 0.000 0.500 0.772
Cd1 Cd 0.500 0.000 0.633
Cs2 Cs 0.500 0.000 0.228
In2 In 0.000 0.500 0.028
Cd2 Cd 0.000 0.500 0.367
In3 In 0.000 0.000 0.500
In4 In 0.500 0.000 0.972
# Symmetry: P4/nmm
# Formation energy (eV/atom): 0.0365

(3)
# PBE SbPtW2, relaxed
data_SbPtW2
_chemical_formula_sum 'Sb1 Pt1 W2'
_cell_length_a 4.981
_cell_length_b 4.981
_cell_length_c 4.820
_cell_angle_alpha 78.80
_cell_angle_beta 78.80
_cell_angle_gamma 36.99
_space_group_name_H-M_alt 'P 1'
_space_group_IT_number 1
_space_group_name_Hall 'P 1'
loop_
_atom_site_label
_atom_site_type_symbol
_atom_site_fract_x
_atom_site_fract_y
_atom_site_fract_z
Pt1 Pt 0.487 0.487 0.514
Sb1 Sb 0.257 0.257 0.253
W1 W 0.019 0.019 0.966
W2 W 0.738 0.738 0.766
# Symmetry: Cm
# Uncorrected formation energy (eV per atom): 0.331

(4)
# PBE TaVIr3, relaxed
data_TaVIr3
_chemical_formula_sum 'Ta1 V1 Ir3'
_cell_length_a 4.485
_cell_length_b 4.485
_cell_length_c 4.485
_cell_angle_alpha 90.00
_cell_angle_beta 90.00
_cell_angle_gamma 90.00
_space_group_name_H-M_alt 'P 1'
_space_group_IT_number 1
_space_group_name_Hall 'P 1'
loop_
_atom_site_label
_atom_site_type_symbol
_atom_site_fract_x
_atom_site_fract_y
_atom_site_fract_z
Ir1 Ir 0.500 0.000 0.000
Ir2 Ir 0.000 0.500 0.000
Ir3 Ir 0.000 0.000 0.500
Ta1 Ta 0.500 0.500 0.500
V1 V 0.000 0.000 0.000
# Polymorph energy (0 for the lowest one) (eV per atom): 0.000
# Symmetry: Pm-3m
# Formation energy (eV/atom): 1.0663

(5)
# PBE SmPaTc4, relaxed
data_SmPaTc4
_chemical_formula_sum 'Sm1 Pa1 Tc4'
_cell_length_a 5.420
_cell_length_b 5.420
_cell_length_c 5.420
_cell_angle_alpha 60.00
_cell_angle_beta 60.00
_cell_angle_gamma 60.00
_space_group_name_H-M_alt 'P 1'
_space_group_IT_number 1
_space_group_name_Hall 'P 1'
loop_
_atom_site_label
_atom_site_type_symbol
_atom_site_fract_x
_atom_site_fract_y
_atom_site_fract_z
Tc1 Tc 0.625 0.125 0.625
Pa1 Pa 0.000 0.000 0.000
Tc2 Tc 0.625 0.625 0.125
Tc3 Tc 0.125 0.625 0.625
Tc4 Tc 0.625 0.625 0.625
Sm1 Sm 0.250 0.250 0.250
# Symmetry: F-43m
# Formation energy (eV/atom): -0.0396

(6)
# PBE Ag2SbRu, relaxed
data_Ag2SbRu
_chemical_formula_sum 'Ag2 Sb1 Ru1'
_cell_length_a 5.792
_cell_length_b 5.792
_cell_length_c 4.409
_cell_angle_alpha 67.68
_cell_angle_beta 67.68
_cell_angle_gamma 32.20
_space_group_name_H-M_alt 'P 1'
_space_group_IT_number 1
_space_group_name_Hall 'P 1'
loop_
_atom_site_label
_atom_site_type_symbol
_atom_site_fract_x
_atom_site_fract_y
_atom_site_fract_z
Ag1 Ag 0.007 0.007 0.993
Ag2 Ag 0.493 0.493 0.507
Ru1 Ru 0.750 0.750 0.750
Sb1 Sb 0.250 0.250 0.250
# Symmetry: Immm
# Uncorrected formation energy (eV per atom): 0.255

(7)
# PBE CaLaCo2, relaxed
data_CaLaCo2
_chemical_formula_sum 'Ca1 La1 Co2'
_cell_length_a 5.354
_cell_length_b 5.354
_cell_length_c 6.718
_cell_angle_alpha 54.66
_cell_angle_beta 54.66
_cell_angle_gamma 44.58
_space_group_name_H-M_alt 'P 1'
_space_group_IT_number 1
_space_group_name_Hall 'P 1'
loop_
_atom_site_label
_atom_site_type_symbol
_atom_site_fract_x
_atom_site_fract_y
_atom_site_fract_z
La1 La 0.750 0.750 0.750
Co1 Co 0.989 0.989 0.818
Co2 Co 0.511 0.511 0.682
Ca1 Ca 0.250 0.250 0.250
# Symmetry: C2/m
# Formation energy (eV/atom): 0.0978

(8)
# PBE SBrO2, relaxed
data_SBrO2
_chemical_formula_sum 'S1 Br1 O2'
_cell_length_a 4.127
_cell_length_b 4.127
_cell_length_c 4.127
_cell_angle_alpha 60.00
_cell_angle_beta 60.00
_cell_angle_gamma 60.00
_space_group_name_H-M_alt 'P 1'
_space_group_IT_number 1
_space_group_name_Hall 'P 1'
loop_
_atom_site_label
_atom_site_type_symbol
_atom_site_fract_x
_atom_site_fract_y
_atom_site_fract_z
Br1 Br 0.500 0.500 0.500
O1 O 0.250 0.250 0.250
S1 S 0.000 0.000 0.000
O2 O 0.750 0.750 0.750
# Polymorph energy (0 for the lowest one) (eV per atom): 2.078
# Symmetry: Fm-3m
# Uncorrected formation energy (eV per atom): 1.449

Repeat the fifth record exactly.
# PBE SmPaTc4, relaxed
data_SmPaTc4
_chemical_formula_sum 'Sm1 Pa1 Tc4'
_cell_length_a 5.420
_cell_length_b 5.420
_cell_length_c 5.420
_cell_angle_alpha 60.00
_cell_angle_beta 60.00
_cell_angle_gamma 60.00
_space_group_name_H-M_alt 'P 1'
_space_group_IT_number 1
_space_group_name_Hall 'P 1'
loop_
_atom_site_label
_atom_site_type_symbol
_atom_site_fract_x
_atom_site_fract_y
_atom_site_fract_z
Tc1 Tc 0.625 0.125 0.625
Pa1 Pa 0.000 0.000 0.000
Tc2 Tc 0.625 0.625 0.125
Tc3 Tc 0.125 0.625 0.625
Tc4 Tc 0.625 0.625 0.625
Sm1 Sm 0.250 0.250 0.250
# Symmetry: F-43m
# Formation energy (eV/atom): -0.0396